[1]
Sc4AlIn3: optimized geometry, PBE.

ΔE_f in meV per atom: -435

Cell lengths 3.1664, 3.1664, 17.3043 Å; angles 90.00, 90.00, 90.00 degrees
Last column: nearest neighbours and their distance in Å.
Space group P4/mmm (No. 123)
Asymmetric unit:
Sc 0.0000 0.0000 0.1129  4 Al 2.97, 4 Sc 3.17, 4 In 3.18
Sc 0.0000 0.0000 0.3710  8 In 3.14-3.16, 4 Sc 3.17
Al 0.5000 0.5000 0.0000  8 Sc 2.97, 4 Al 3.17
In 0.5000 0.5000 0.2435  8 Sc 3.14-3.18, 4 In 3.17
In 0.5000 0.5000 0.5000  8 Sc 3.16, 4 In 3.17

***

[2]
Zr2InPt: optimized geometry, PBE.

ΔE_f in meV per atom: -519

Cell lengths 4.1082, 4.1082, 9.6499 Å; angles 90.00, 90.00, 90.00 degrees
Last column: nearest neighbours and their distance in Å.
Space group I-4m2 (No. 119)
Asymmetric unit:
Zr 0.0000 0.0000 0.0000  4 Pt 2.90, 4 Zr 3.17, 4 In 3.17
Zr 0.0000 0.5000 0.2500  4 In 2.90, 4 Zr 3.17, 4 Pt 3.17
In 0.0000 0.5000 0.7500  8 Zr 2.90-3.17, 4 Pt 3.17
Pt 0.0000 0.0000 0.5000  8 Zr 2.90-3.17, 4 In 3.17

***

[3]
KZrTlF6: optimized geometry, PBE.

Formation energy (no corrections) in eV/atom: -3.145

Cell lengths 6.5871, 6.5871, 9.9778 Å; angles 90.00, 90.00, 120.00 degrees
Last column: nearest neighbours and their distance in Å.
Space group P-31c (No. 163)
Asymmetric unit:
K 0.3333 0.6667 0.2500  6 F 2.70
Zr 0.3333 0.6667 0.7500  6 F 2.05
Tl 0.0000 0.0000 0.0000  6 F 2.84
F 0.0719 0.4092 0.6369  1 Zr 2.05

***

[4]
ZrCr2Os: optimized geometry, PBE.

ΔE_f in meV per atom: 463

Cell lengths 2.7380, 2.7380, 27.8648 Å; angles 90.00, 90.00, 120.00 degrees
Last column: nearest neighbours and their distance in Å.
Space group R-3m (No. 166, hexagonal axes)
Asymmetric unit:
Zr 0.0000 0.0000 0.0000  6 Zr 2.74, 6 Cr 3.00
Cr 0.0000 0.0000 0.2419  3 Os 2.63, 6 Cr 2.74
Os 0.0000 0.0000 0.5000  6 Cr 2.63, 6 Os 2.74

***

[5]
Sm3GaCo: optimized geometry, PBE.

ΔE_f in meV per atom: -269

Cell lengths 10.1987, 6.4023, 8.5595 Å; angles 90.00, 115.23, 90.00 degrees
Last column: nearest neighbours and their distance in Å.
Space group C2/m (No. 12)
Asymmetric unit:
Sm 0.0156 0.0000 0.2252  2 Co 2.76, 2 Ga 3.08
Sm 0.1862 0.5000 0.8628  2 Co 2.87, 2 Ga 3.15
Sm 0.2031 0.5000 0.3324  2 Co 2.95, 2 Ga 3.25
Ga 0.0000 0.2962 0.5000  1 Ga 2.61
Co 0.0000 0.3177 0.0000  1 Co 2.33

***

[6]
Ca5Cu: optimized geometry, PBE.

ΔE_f in meV per atom: 446

Cell lengths 9.8606, 9.8606, 9.8606 Å; angles 90.00, 90.00, 90.00 degrees
Last column: nearest neighbours and their distance in Å.
Space group F-43m (No. 216)
Asymmetric unit:
Ca 0.0000 0.0000 0.0000  12 Ca 4.09, 4 Cu 4.27
Ca 0.1250 0.1250 0.6250  6 Ca 3.49
Cu 0.2500 0.2500 0.2500  16 Ca 4.09-4.27

***

It is found that the uncorrected energy values, taken in the order of the records, are -5.096, -6.988, -5.727, -9.293, -5.127, -1.904 eV/atom.
It is found that the volume values, taken in the order of the records, are 21.69, 20.36, 20.83, 15.08, 25.28, 39.95 Å³ per atom.